No. 1
Ga3CuPb | GGA-PBE | relaxed

POSCAR file:
```
Ga3CuPb
1.0
4.803 0.000 0.000
0.000 4.803 0.000
0.000 0.000 4.803
Ga Pb Cu
3 1 1
Cartesian
0.000 2.402 0.000
0.000 0.000 2.402
2.402 0.000 0.000
2.402 2.402 2.402
0.000 0.000 0.000
```

Output
Its symmetry is Pm-3m (221). As for the density: 7.2 Mg/m³. As for the energy above the most stable polymorph in this dataset: 0.000 eV per atom.

No. 2
GaCuPb | GGA-PBE | relaxed

POSCAR file:
```
GaCuPb
1.0
-8.177 -0.892 0.364
0.313 -1.235 4.019
-0.675 7.098 2.234
Cu Ga Pb
4 4 4
Cartesian
-0.691 3.131 4.333
-3.529 -0.130 1.341
-5.010 5.101 5.276
-7.848 1.840 2.283
-4.113 0.376 3.753
-0.028 0.854 3.582
-4.426 4.595 2.863
-8.511 4.117 3.035
-5.951 2.468 4.540
-6.431 -0.535 1.443
-2.589 2.503 2.077
-2.108 5.506 5.174
```

Output
Its symmetry is Pnma (62). As for the density: 8.7 Mg/m³.

No. 3
Ga2CuPb | GGA-PBE | relaxed

POSCAR file:
```
Ga2CuPb
1.0
-1.584 2.075 1.989
-3.106 0.843 -0.645
-4.524 -6.099 5.468
Cu Ga Pb
1 2 1
Cartesian
-4.607 -1.590 3.406
-3.586 -3.859 3.878
-5.628 0.678 2.934
0.000 0.000 0.000
```

Output
Its symmetry is R-3m (166). As for the density: 8.0 Mg/m³.

No. 4
Ga2CuPb | GGA-PBE | relaxed

POSCAR file:
```
Ga2CuPb
1.0
3.260 0.000 0.000
0.000 3.260 0.000
0.000 0.000 7.555
Cu Pb Ga
1 1 2
Cartesian
1.630 1.630 0.000
1.630 1.630 3.777
0.000 0.000 1.401
0.000 0.000 6.154
```

Output
Its symmetry is P4/mmm (123). As for the density: 8.5 Mg/m³.

No. 5
GaCuPb | GGA-PBE | relaxed

POSCAR file:
```
GaCuPb
1.0
4.010 0.000 0.000
0.000 4.285 0.000
0.000 -2.143 3.711
Ga Cu Pb
1 1 1
Cartesian
0.670 0.000 0.000
0.666 0.000 2.474
2.674 2.143 1.237
```

Output
Its symmetry is P-6m2 (187). As for the density: 8.9 Mg/m³.

No. 6
GaCuPb | GGA-PBE | relaxed

POSCAR file:
```
GaCuPb
1.0
-6.962 2.271 1.585
-0.947 -5.078 3.114
1.885 2.515 4.675
Pb Ga Cu
4 4 4
Cartesian
-5.344 1.961 4.492
-3.220 0.140 8.010
-2.805 -0.431 1.364
-0.680 -2.252 4.882
-3.012 -0.146 4.687
0.000 0.000 0.000
-0.474 -2.539 1.557
-2.539 2.393 3.130
-5.073 -0.821 5.879
-3.491 2.922 6.622
-2.533 -3.213 2.752
-0.952 0.530 3.495
```

Output
Its symmetry is Cmcm (63). As for the density: 8.9 Mg/m³.

No. 7
Ga2CuPb | GGA-PBE | relaxed

POSCAR file:
```
Ga2CuPb
1.0
-2.774 -2.197 -2.219
0.548 -4.104 -0.553
-3.698 -3.130 3.790
Ga Cu Pb
2 1 1
Cartesian
-1.140 -2.239 -0.290
-3.337 -3.004 3.214
-5.111 -7.306 1.828
-2.996 -4.727 0.563
```

Output
Its symmetry is R3m (160). As for the density: 8.0 Mg/m³.

No. 8
GaCuPb | GGA-PBE | relaxed

POSCAR file:
```
GaCuPb
1.0
-2.317 6.901 -0.104
-3.910 -1.311 0.126
0.196 0.186 7.992
Pb Ga Cu
4 4 4
Cartesian
-3.175 6.347 1.271
-2.856 -0.571 6.743
-1.985 2.927 2.640
-4.047 2.849 5.374
-1.653 2.407 7.489
-2.885 5.787 4.433
-3.146 -0.011 3.582
-4.378 3.370 0.525
-1.376 1.344 5.033
-2.487 4.840 6.919
-3.544 0.937 1.095
-4.655 4.432 2.981
```

Output
Its symmetry is Pnma (62). As for the density: 9.4 Mg/m³.

What are the Fermi-level density of states values for these records? In order: 3.131, 5.587, 1.210, 1.635, 0.684, 4.824, 1.072, 4.626 states/eV per cell.
What are the ΔH_f (0 K) values for these records? In order: 141, 107, 123, 91, 118, 180, 40, 71 meV/atom.